# NaMoAsO6 (PBEsol, relaxed)
# * size of the total moment: 0.0 μB per formula unit
# * space group: Pca2_1
# * total DFT energy (no corrections): -65.00 eV/f.u.
# * polymorph energy (0 for the lowest one): 0.0 meV/atom
data_NaMoAsO6
_cell_length_a 6.566
_cell_length_b 10.094
_cell_length_c 15.220
_cell_angle_alpha 90.00
_cell_angle_beta 90.00
_cell_angle_gamma 90.00
_space_group_name_H-M_alt 'P 1'
_space_group_IT_number 1
loop_
_space_group_symop_operation_xyz
'x,y,z'
loop_
_atom_site_label
_atom_site_type_symbol
_atom_site_fract_x
_atom_site_fract_y
_atom_site_fract_z
As1 As 0.490 0.982 0.103
As2 As 0.018 0.665 0.647
As3 As 0.510 0.482 0.897
As4 As 0.018 0.165 0.853
As5 As 0.510 0.982 0.603
As6 As 0.982 0.165 0.353
As7 As 0.490 0.482 0.397
As8 As 0.982 0.665 0.147
O1 O 0.519 0.474 0.621
O2 O 0.789 0.151 0.429
O3 O 0.498 0.623 0.460
O4 O 0.198 0.663 0.082
O5 O 0.726 0.988 0.667
O6 O 0.481 0.474 0.121
O7 O 0.045 0.938 0.547
O8 O 0.502 0.623 0.960
O9 O 0.974 0.306 0.294
O10 O 0.021 0.174 0.628
O11 O 0.501 0.341 0.957
O12 O 0.726 0.488 0.833
O13 O 0.022 0.026 0.790
O14 O 0.683 0.493 0.321
O15 O 0.978 0.526 0.210
O16 O 0.979 0.174 0.128
O17 O 0.955 0.438 0.453
O18 O 0.683 0.993 0.179
O19 O 0.955 0.938 0.047
O20 O 0.501 0.841 0.543
O21 O 0.499 0.341 0.457
O22 O 0.045 0.438 0.953
O23 O 0.022 0.526 0.710
O24 O 0.021 0.674 0.872
O25 O 0.478 0.709 0.702
O26 O 0.802 0.663 0.582
O27 O 0.274 0.988 0.167
O28 O 0.026 0.306 0.794
O29 O 0.499 0.841 0.043
O30 O 0.522 0.709 0.202
O31 O 0.519 0.974 0.879
O32 O 0.498 0.123 0.040
O33 O 0.802 0.163 0.918
O34 O 0.478 0.209 0.798
O35 O 0.317 0.493 0.821
O36 O 0.502 0.123 0.540
O37 O 0.026 0.806 0.706
O38 O 0.789 0.651 0.071
O39 O 0.198 0.163 0.418
O40 O 0.211 0.651 0.571
O41 O 0.979 0.674 0.372
O42 O 0.211 0.151 0.929
O43 O 0.978 0.026 0.290
O44 O 0.481 0.974 0.379
O45 O 0.274 0.488 0.333
O46 O 0.317 0.993 0.679
O47 O 0.522 0.209 0.298
O48 O 0.974 0.806 0.206
Na1 Na 0.767 0.305 0.557
Na2 Na 0.279 0.337 0.690
Na3 Na 0.279 0.837 0.810
Na4 Na 0.233 0.305 0.057
Na5 Na 0.233 0.805 0.443
Na6 Na 0.721 0.837 0.310
Na7 Na 0.721 0.337 0.190
Na8 Na 0.767 0.805 0.943
Mo1 Mo 0.983 0.506 0.351
Mo2 Mo 0.513 0.642 0.600
Mo3 Mo 0.487 0.642 0.100
Mo4 Mo 0.983 0.006 0.149
Mo5 Mo 0.487 0.142 0.400
Mo6 Mo 0.513 0.142 0.900
Mo7 Mo 0.017 0.006 0.649
Mo8 Mo 0.017 0.506 0.851

=====

# Cr2PPdSe (PBEsol, relaxed)
# * size of the total moment: 7.4 μB per formula unit
# * space group: P4/mmm
# * total DFT energy (no corrections): -30.74 eV/f.u.
data_Cr2PPdSe
_cell_length_a 4.563
_cell_length_b 4.563
_cell_length_c 4.678
_cell_angle_alpha 90.00
_cell_angle_beta 90.00
_cell_angle_gamma 90.00
_space_group_name_H-M_alt 'P 1'
_space_group_IT_number 1
loop_
_space_group_symop_operation_xyz
'x,y,z'
loop_
_atom_site_label
_atom_site_type_symbol
_atom_site_fract_x
_atom_site_fract_y
_atom_site_fract_z
Cr1 Cr 0.500 0.000 0.000
Cr2 Cr 0.000 0.500 0.000
Se1 Se 0.000 0.000 0.000
Pd1 Pd 0.500 0.500 0.500
P1 P 0.000 0.000 0.500

=====

# CaCrCl2 (PBEsol, relaxed)
# * size of the total moment: 5.2 μB per formula unit
# * space group: P4/mmm
# * total DFT energy (no corrections): -19.26 eV/f.u.
# * polymorph energy (0 for the lowest one): 0.0 meV/atom
data_CaCrCl2
_cell_length_a 3.335
_cell_length_b 3.335
_cell_length_c 9.360
_cell_angle_alpha 90.00
_cell_angle_beta 90.00
_cell_angle_gamma 90.03
_space_group_name_H-M_alt 'P 1'
_space_group_IT_number 1
loop_
_space_group_symop_operation_xyz
'x,y,z'
loop_
_atom_site_label
_atom_site_type_symbol
_atom_site_fract_x
_atom_site_fract_y
_atom_site_fract_z
Cr1 Cr 0.500 0.500 0.500
Cl1 Cl 0.000 0.000 0.167
Cl2 Cl 0.000 0.000 0.833
Ca1 Ca 0.500 0.500 0.000

=====

# CoReTc2 (PBEsol, relaxed)
# * size of the total moment: 0.0 μB per formula unit
# * space group: I4/mmm
# * energy of formation from the pure elements: 0.029 eV/atom
# * total DFT energy (no corrections): -43.49 eV/f.u.
# * polymorph energy (0 for the lowest one): 20.6 meV/atom
data_CoReTc2
_cell_length_a 3.767
_cell_length_b 3.767
_cell_length_c 4.567
_cell_angle_alpha 114.36
_cell_angle_beta 114.36
_cell_angle_gamma 90.00
_space_group_name_H-M_alt 'P 1'
_space_group_IT_number 1
loop_
_space_group_symop_operation_xyz
'x,y,z'
loop_
_atom_site_label
_atom_site_type_symbol
_atom_site_fract_x
_atom_site_fract_y
_atom_site_fract_z
Tc1 Tc 0.250 0.750 0.500
Tc2 Tc 0.750 0.250 0.500
Re1 Re 0.000 0.000 0.000
Co1 Co 0.500 0.500 0.000